(1)
# PBE Tm2AgBi4, relaxed
data_Tm2AgBi4
_cell_length_a 4.570
_cell_length_b 4.570
_cell_length_c 9.650
_cell_angle_alpha 90.00
_cell_angle_beta 90.00
_cell_angle_gamma 90.00
_space_group_name_H-M_alt 'P 1'
_space_group_IT_number 1
loop_
_space_group_symop_operation_xyz
'x,y,z'
loop_
_atom_site_label
_atom_site_fract_x
_atom_site_fract_y
_atom_site_fract_z
Tm1 0.500 0.000 0.762
Tm2 0.000 0.500 0.238
Ag1 0.500 0.500 0.000
Bi1 0.500 0.000 0.174
Bi2 0.000 0.500 0.826
Bi3 0.500 0.500 0.500
Bi4 0.000 0.000 0.500
# **Density of states at the Fermi level**: 0.4713 states/eV/atom
# **Crystal system**: tetragonal
# **Symmetry**: P-4m2

***

(2)
# PBE PRu, relaxed
data_PRu
_cell_length_a 3.728
_cell_length_b 5.547
_cell_length_c 10.920
_cell_angle_alpha 90.00
_cell_angle_beta 90.00
_cell_angle_gamma 90.00
_space_group_name_H-M_alt 'P 1'
_space_group_IT_number 1
loop_
_space_group_symop_operation_xyz
'x,y,z'
loop_
_atom_site_label
_atom_site_fract_x
_atom_site_fract_y
_atom_site_fract_z
P1 0.000 0.805 0.658
P2 0.500 0.195 0.842
P3 0.500 0.195 0.158
P4 0.000 0.805 0.342
P5 0.000 0.680 0.000
P6 0.500 0.320 0.500
Ru1 0.000 0.964 0.851
Ru2 0.500 0.036 0.649
Ru3 0.500 0.036 0.351
Ru4 0.000 0.964 0.149
Ru5 0.000 0.552 0.500
Ru6 0.500 0.448 0.000
# **Density of states at the Fermi level**: 0.3406 states/eV/atom
# **Crystal system**: orthorhombic
# **Symmetry**: Pmmn
# **Distance to the lowest polymorph of the same formula**: 281.3 meV per atom

***

(3)
# PBE HoNbIr4, relaxed
data_HoNbIr4
_cell_length_a 5.260
_cell_length_b 5.260
_cell_length_c 5.260
_cell_angle_alpha 60.00
_cell_angle_beta 60.00
_cell_angle_gamma 60.00
_space_group_name_H-M_alt 'P 1'
_space_group_IT_number 1
loop_
_space_group_symop_operation_xyz
'x,y,z'
loop_
_atom_site_label
_atom_site_fract_x
_atom_site_fract_y
_atom_site_fract_z
Nb1 0.250 0.250 0.250
Ir1 0.625 0.625 0.124
Ir2 0.625 0.124 0.625
Ir3 0.625 0.625 0.625
Ir4 0.124 0.625 0.625
Ho1 0.000 0.000 0.000
# **Density of states at the Fermi level**: 0.8388 states/eV/atom
# **Crystal system**: cubic
# **Symmetry**: F-43m

***

(4)
# PBE TcIrW2, relaxed
data_TcIrW2
_cell_length_a 4.840
_cell_length_b 4.840
_cell_length_c 4.852
_cell_angle_alpha 80.90
_cell_angle_beta 80.90
_cell_angle_gamma 33.28
_space_group_name_H-M_alt 'P 1'
_space_group_IT_number 1
loop_
_space_group_symop_operation_xyz
'x,y,z'
loop_
_atom_site_label
_atom_site_fract_x
_atom_site_fract_y
_atom_site_fract_z
Ir1 0.503 0.503 0.503
Tc1 0.243 0.243 0.250
W1 0.998 0.998 0.011
W2 0.757 0.757 0.736
# **Density of states at the Fermi level**: 0.7330 states/eV/atom
# **Crystal system**: monoclinic
# **Symmetry**: Cm
# **Distance to the lowest polymorph of the same formula**: 58.1 meV per atom

***

(5)
# PBE HfTi2Rh, relaxed
data_HfTi2Rh
_cell_length_a 3.206
_cell_length_b 4.506
_cell_length_c 5.485
_cell_angle_alpha 114.23
_cell_angle_beta 106.99
_cell_angle_gamma 90.00
_space_group_name_H-M_alt 'P 1'
_space_group_IT_number 1
loop_
_space_group_symop_operation_xyz
'x,y,z'
loop_
_atom_site_label
_atom_site_fract_x
_atom_site_fract_y
_atom_site_fract_z
Hf1 0.000 0.500 0.000
Ti1 0.765 0.765 0.530
Ti2 0.235 0.235 0.470
Rh1 0.500 0.000 0.000
# **Density of states at the Fermi level**: 1.2407 states/eV/atom
# **Crystal system**: orthorhombic
# **Symmetry**: Immm

***

no.,size of the total moment (μB per cell),raw total energy (eV/atom),DFT formation energy (meV/atom)
1,0.00,-4.28,-379
2,0.00,-7.62,-280
3,0.00,-8.80,-454
4,0.00,-11.29,-11
5,0.00,-8.74,-462